(1)
PBE Ho8PuTh2, optimized geometry; energy = -63.3 eV for the cell shown
1.0
9.410 -3.430 0.000
9.410 3.430 0.000
-0.164 0.000 5.606
Ho Pu Th
8 1 2
Cartesian
0.849 0.000 1.338
6.923 1.828 1.458
5.929 0.000 4.274
11.733 1.828 4.148
6.923 -1.828 1.458
12.728 0.000 1.332
11.733 -1.828 4.148
17.807 0.000 4.268
9.410 0.000 0.000
4.092 0.000 1.434
14.564 0.000 4.171

(2)
PBE HoPuTh, optimized geometry; E above lowest polymorph = 127.0 meV per atom; energy = -25.5 eV for the cell shown
1.0
5.652 0.000 0.000
-2.826 4.895 0.000
0.000 0.000 3.260
Ho Pu Th
1 1 1
Cartesian
0.000 0.000 0.000
0.000 3.263 1.624
2.826 1.632 3.250

(3)
PBE HoPuTh2, optimized geometry; E above lowest polymorph = 86.4 meV per atom; energy = -33.0 eV for the cell shown
1.0
0.000 3.925 3.925
3.925 0.000 3.925
3.925 3.925 0.000
Ho Pu Th
1 1 2
Cartesian
0.000 0.000 0.000
3.925 3.925 3.925
1.962 1.962 1.962
5.887 5.887 5.887

(4)
PBE HoPuTh, optimized geometry; E above lowest polymorph = 69.7 meV per atom; energy = -25.7 eV for the cell shown
1.0
-2.021 2.021 5.496
2.021 -2.021 5.496
2.021 2.021 -5.496
Ho Pu Th
1 1 1
Cartesian
0.000 0.000 0.000
0.000 0.000 3.766
0.000 0.000 7.489

(5)
PBE Ho12PuTh5, optimized geometry; energy = -103.5 eV for the cell shown
1.0
2.490 -7.456 0.000
2.490 7.456 0.000
0.000 0.000 14.998
Ho Pu Th
12 1 5
Cartesian
0.000 0.000 2.424
0.000 0.000 12.573
2.490 4.968 5.031
2.490 4.968 9.967
2.490 2.469 2.372
2.490 2.469 12.625
2.490 0.000 5.039
2.490 0.000 9.959
2.490 -2.469 2.372
2.490 -2.469 12.625
2.490 -4.968 5.031
2.490 -4.968 9.967
2.490 0.000 0.000
0.000 0.000 7.499
2.490 5.063 0.000
2.490 2.490 7.499
2.490 -2.490 7.499
2.490 -5.063 0.000

(6)
PBE HoPuTh2, optimized geometry; E above lowest polymorph = 16.6 meV per atom; energy = -33.3 eV for the cell shown
1.0
1.766 1.020 11.355
-1.766 1.020 11.355
0.000 -2.039 11.355
Ho Pu Th
1 1 2
Cartesian
0.000 0.000 0.000
0.000 0.000 5.787
0.000 0.000 19.837
0.000 0.000 25.654

(7)
PBE Ho2PuTi, optimized geometry; energy = -29.6 eV for the cell shown
1.0
1.642 0.948 11.506
-1.642 0.948 11.506
0.000 -1.896 11.506
Ho Pu Ti
2 1 1
Cartesian
0.000 0.000 2.940
0.000 0.000 31.576
0.000 0.000 17.258
0.000 0.000 0.000

(8)
PBE HoPu2Ti, optimized geometry; energy = -40.3 eV for the cell shown
1.0
3.222 0.000 0.000
0.000 3.222 0.000
0.000 0.000 9.356
Ho Pu Ti
1 2 1
Cartesian
0.000 0.000 0.000
1.611 1.611 2.608
1.611 1.611 6.748
0.000 0.000 4.678

(9)
PBE HoPu2Tl, optimized geometry; E above lowest polymorph = 230.4 meV per atom; energy = -34.9 eV for the cell shown
1.0
0.000 3.822 3.822
3.822 0.000 3.822
3.822 3.822 0.000
Ho Pu Tl
1 2 1
Cartesian
0.000 0.000 0.000
1.911 1.911 1.911
5.734 5.734 5.734
3.822 3.822 3.822

(10)
PBE HoPu2Tl, optimized geometry; E above lowest polymorph = 0.0 meV per atom; energy = -35.8 eV for the cell shown
1.0
4.531 0.000 0.000
0.000 4.531 0.000
0.000 0.000 5.197
Ho Pu Tl
1 2 1
Cartesian
0.000 0.000 0.000
0.000 2.266 2.599
2.266 0.000 2.599
2.266 2.266 0.000

(11)
PBE Ho12PuTl3, optimized geometry; energy = -78.0 eV for the cell shown
1.0
4.820 0.000 0.000
0.000 4.820 0.000
0.000 0.000 19.663
Ho Pu Tl
12 1 3
Cartesian
0.000 0.000 0.000
0.000 0.000 4.873
0.000 0.000 9.832
0.000 0.000 14.790
0.000 2.410 2.441
0.000 2.410 7.350
0.000 2.410 12.313
0.000 2.410 17.222
2.410 0.000 2.441
2.410 0.000 7.350
2.410 0.000 12.313
2.410 0.000 17.222
2.410 2.410 9.832
2.410 2.410 0.000
2.410 2.410 4.822
2.410 2.410 14.841

(12)
PBE HoPu2Tl3, optimized geometry; energy = -41.1 eV for the cell shown
1.0
3.367 0.000 0.000
0.000 3.367 0.000
0.000 0.000 14.198
Ho Pu Tl
1 2 3
Cartesian
0.000 0.000 0.000
0.000 0.000 4.700
0.000 0.000 9.498
1.683 1.683 2.305
1.683 1.683 7.099
1.683 1.683 11.893

(13)
PBE HoPuTl6, optimized geometry; energy = -34.1 eV for the cell shown
1.0
4.766 0.000 0.000
0.000 4.766 0.000
0.000 0.000 9.559
Ho Pu Tl
1 1 6
Cartesian
0.000 0.000 0.000
0.000 0.000 4.780
0.000 2.383 2.378
0.000 2.383 7.181
2.383 0.000 2.378
2.383 0.000 7.181
2.383 2.383 0.000
2.383 2.383 4.780

(14)
PBE Ho4PuTl7, optimized geometry; energy = -49.4 eV for the cell shown
1.0
6.680 -2.863 0.000
6.680 2.863 0.000
-6.310 0.000 9.485
Ho Pu Tl
4 1 7
Cartesian
-0.652 0.000 2.676
-2.276 0.000 7.847
9.327 0.000 1.638
7.703 0.000 6.809
3.525 0.000 4.743
-3.155 0.000 4.743
1.512 0.000 0.428
0.040 0.000 5.717
4.523 0.000 1.618
2.527 0.000 7.867
7.011 0.000 3.768
5.538 0.000 9.057

(15)
PBE Ho5PuTl6, optimized geometry; energy = -54.6 eV for the cell shown
1.0
-2.489 4.354 7.471
2.489 -4.354 7.471
2.489 4.354 -7.471
Ho Pu Tl
5 1 6
Cartesian
0.000 0.000 0.000
2.489 0.000 2.533
0.000 0.000 5.071
0.000 0.000 9.871
0.000 4.354 4.938
0.000 4.354 0.000
2.489 -2.200 4.953
2.489 2.133 0.000
0.000 2.154 2.518
2.489 2.200 4.953
0.000 2.221 7.471
0.000 6.554 2.518

(16)
PBE Ho2PuTl4, optimized geometry; energy = -33.7 eV for the cell shown
1.0
5.233 0.000 0.000
0.000 5.233 0.000
0.000 0.000 7.557
Ho Pu Tl
2 1 4
Cartesian
0.000 0.000 0.000
2.617 2.617 3.779
0.000 0.000 3.779
0.000 2.617 1.726
0.000 2.617 5.831
2.617 0.000 1.726
2.617 0.000 5.831

(17)
PBE Ho4PuTl5, optimized geometry; energy = -44.5 eV for the cell shown
1.0
3.723 0.000 0.000
0.000 3.723 0.000
0.000 0.000 19.458
Ho Pu Tl
4 1 5
Cartesian
0.000 0.000 1.948
0.000 0.000 5.818
0.000 0.000 13.640
0.000 0.000 17.510
0.000 0.000 9.729
1.862 1.862 0.000
1.862 1.862 3.894
1.862 1.862 7.753
1.862 1.862 11.705
1.862 1.862 15.564

(18)
PBE Ho2Pu2Tl3, optimized geometry; energy = -45.6 eV for the cell shown
1.0
2.351 -11.639 0.000
2.351 11.639 0.000
0.000 0.000 3.415
Ho Pu Tl
2 2 3
Cartesian
2.351 9.934 0.000
2.351 -9.934 0.000
2.351 6.680 0.000
2.351 -6.680 0.000
2.351 3.424 1.707
2.351 0.000 1.707
2.351 -3.424 1.707

(19)
PBE HoPuTl3, optimized geometry; energy = -50.9 eV for the cell shown
1.0
7.824 0.000 0.000
-3.912 6.776 0.000
0.000 0.000 5.717
Ho Pu Tl
2 2 6
Cartesian
0.000 4.517 1.429
3.912 2.259 4.287
0.000 0.000 0.000
0.000 0.000 2.858
0.000 2.744 4.287
-1.535 5.403 4.287
2.377 1.372 1.429
1.535 5.403 4.287
5.447 1.372 1.429
3.912 4.031 1.429

(20)
PBE Ho2TmPuTl4, optimized geometry; energy = -39.2 eV for the cell shown
1.0
2.679 1.547 8.761
-2.679 1.547 8.761
0.000 -3.094 8.761
Ho Tm Pu Tl
2 1 1 4
Cartesian
0.000 0.000 6.528
0.000 0.000 19.756
0.000 0.000 0.000
0.000 0.000 13.142
0.000 0.000 3.227
0.000 0.000 9.801
0.000 0.000 16.483
0.000 0.000 23.057

no.,ΔE_f (meV per atom)
1,230
2,262
3,180
4,204
5,159
6,110
7,454
8,199
9,188
10,-43
11,-105
12,-120
13,-124
14,-12
15,-262
16,-109
17,0
18,-96
19,112
20,-221